No. 1
Compound: Fe2TcW
Source: Alexandria
Functional: PBE
Structure: optimized geometry

- crystal system = monoclinic
- SG = No. 10
- ΔE_f (eV/atom) = 0.1366
- ρ (g/cm³) = 11.93
- energy above the most stable polymorph in this dataset (eV/atom) = 0.080
- magnetization (Bohr magnetons per cell) = 4.77
- E (Ha/atom) = -0.36472

POSCAR file:
```
Fe2TcW
1.0
4.230 0.000 0.000
0.000 2.612 -0.004
0.000 1.088 4.957
Fe Tc W
2 1 1
Cartesian
0.000 1.851 2.469 Fe
0.000 2.611 0.003 Fe
2.115 0.925 1.238 Tc
2.115 2.775 3.715 W
```

=====

No. 2
Compound: Fe2TcW
Source: Alexandria
Functional: PBE
Structure: optimized geometry

- crystal system = cubic
- SG = No. 216
- ΔE_f (eV/atom) = 0.0830
- ρ (g/cm³) = 11.95
- energy above the most stable polymorph in this dataset (eV/atom) = 0.026
- magnetization (Bohr magnetons per cell) = 4.87
- E (Ha/atom) = -0.36669

POSCAR file:
```
Fe2TcW
1.0
4.260 0.000 0.000
2.130 3.689 0.000
2.130 1.230 3.478
W Tc Fe
1 1 2
Cartesian
2.130 1.230 0.870 W
4.260 2.459 1.739 Tc
6.390 3.689 2.609 Fe
0.000 0.000 0.000 Fe
```

=====

No. 3
Compound: Fe2TcW
Source: Alexandria
Functional: PBE
Structure: optimized geometry

- crystal system = monoclinic
- SG = No. 12
- ΔE_f (eV/atom) = 0.1355
- ρ (g/cm³) = 11.95
- energy above the most stable polymorph in this dataset (eV/atom) = 0.079
- magnetization (Bohr magnetons per cell) = 4.60
- E (Ha/atom) = -0.36476

POSCAR file:
```
Fe2TcW
1.0
-1.648 -4.349 2.069
1.362 -0.130 -4.756
2.206 -1.375 0.253
Fe Tc W
2 1 1
Cartesian
0.000 0.000 0.000 Fe
0.279 -2.862 1.161 Fe
1.784 -0.752 -2.251 Tc
-0.143 -2.239 -1.344 W
```

=====

No. 4
Compound: Fe2TcW
Source: Alexandria
Functional: PBE
Structure: optimized geometry

- crystal system = tetragonal
- SG = No. 139
- ΔE_f (eV/atom) = 0.1103
- ρ (g/cm³) = 12.63
- energy above the most stable polymorph in this dataset (eV/atom) = 0.053
- magnetization (Bohr magnetons per cell) = 1.04
- E (Ha/atom) = -0.36569

POSCAR file:
```
Fe2TcW
1.0
4.535 -0.004 0.000
1.435 4.302 0.000
-2.985 -2.149 2.652
W Fe Tc
1 2 1
Cartesian
2.267 -0.002 1.326 W
2.985 2.149 0.000 Fe
0.000 0.000 0.000 Fe
0.718 2.151 1.326 Tc
```

=====

No. 5
Compound: FeTcW4
Source: Alexandria
Functional: PBE
Structure: optimized geometry

- crystal system = cubic
- SG = No. 216
- ΔE_f (eV/atom) = 0.5643
- ρ (g/cm³) = 14.88
- magnetization (Bohr magnetons per cell) = 2.65
- E (Ha/atom) = -0.41193

POSCAR file:
```
FeTcW4
1.0
0.000 3.674 3.674
3.674 0.000 3.674
3.674 3.674 0.000
W Tc Fe
4 1 1
Cartesian
4.588 2.761 4.588 W
2.761 4.588 4.588 W
2.761 2.761 2.761 W
4.588 4.588 2.761 W
0.000 0.000 0.000 Tc
5.511 5.511 5.511 Fe
```

=====

No. 6
Compound: Fe2TcW
Source: Alexandria
Functional: PBE
Structure: optimized geometry

- crystal system = orthorhombic
- SG = No. 71
- ΔE_f (eV/atom) = 0.1032
- ρ (g/cm³) = 11.93
- energy above the most stable polymorph in this dataset (eV/atom) = 0.046
- magnetization (Bohr magnetons per cell) = 4.80
- E (Ha/atom) = -0.36595

POSCAR file:
```
Fe2TcW
1.0
-1.519 1.851 -4.360
-0.236 -3.155 -3.838
-1.661 0.835 4.614
W Fe Tc
1 2 1
Cartesian
-1.388 -1.486 -1.662 W
-0.001 -0.001 -0.007 Fe
-0.876 -0.651 -4.092 Fe
-2.029 1.017 -1.923 Tc
```